[1]
DFT (PBE) results for an optimized crystal structure of TbGa4Ag12.

a b c (Å): 7.8051 7.8051 7.8051
angles (deg): 109.47 109.47 109.47
Last column: nearest neighbours and their distance in Å.
Element x y z (fractional)
1 Tb 0.0000 0.0000 0.0000  12 Ag 3.40
2 Ga 0.0000 0.0000 0.5000  6 Ag 2.56
3 Ga 0.0000 0.5000 0.0000  6 Ag 2.56
4 Ga 0.5000 0.0000 0.0000  6 Ag 2.56
5 Ga 0.5000 0.5000 0.5000  6 Ag 2.56
6 Ag 0.1538 0.3449 0.4987  2 Ga 2.56, 2 Ag 2.77-2.80
7 Ag 0.1538 0.6551 0.8089  2 Ga 2.56, 2 Ag 2.77-2.80
8 Ag 0.1911 0.8462 0.3449  2 Ga 2.56, 2 Ag 2.77-2.80
9 Ag 0.3449 0.1911 0.8462  2 Ga 2.56, 2 Ag 2.77-2.80
10 Ag 0.3449 0.4987 0.1538  2 Ga 2.56, 2 Ag 2.77-2.80
11 Ag 0.4987 0.1538 0.3449  2 Ga 2.56, 2 Ag 2.77-2.80
12 Ag 0.5013 0.8462 0.6551  2 Ga 2.56, 2 Ag 2.77-2.80
13 Ag 0.6551 0.5013 0.8462  2 Ga 2.56, 2 Ag 2.77-2.80
14 Ag 0.6551 0.8089 0.1538  2 Ga 2.56, 2 Ag 2.77-2.80
15 Ag 0.8089 0.1538 0.6551  2 Ga 2.56, 2 Ag 2.77-2.80
16 Ag 0.8462 0.3449 0.1911  2 Ga 2.56, 2 Ag 2.77-2.80
17 Ag 0.8462 0.6551 0.5013  2 Ga 2.56, 2 Ag 2.77-2.80

Calculated values
- crystal system = cubic
- space group = No. 204
- calculated density (g/cm³) = 7.86
- ΔE_f (meV/atom) = 226

=====

[2]
DFT (PBE) results for an optimized crystal structure of Ti2Be3Ga.

a b c (Å): 4.7145 4.7145 4.7145
angles (deg): 59.24 59.24 59.24
Last column: nearest neighbours and their distance in Å.
Element x y z (fractional)
1 Ti 0.1243 0.1243 0.1243  3 Ga 2.74, 9 Be 2.74-2.78, 4 Ti 2.87-2.89
2 Ti 0.8757 0.8757 0.8757  3 Ga 2.74, 9 Be 2.74-2.78, 4 Ti 2.87-2.89
3 Be 0.0000 0.5000 0.5000  4 Be 2.33, 2 Ga 2.36
4 Be 0.5000 0.0000 0.5000  4 Be 2.33, 2 Ga 2.36
5 Be 0.5000 0.5000 0.0000  4 Be 2.33, 2 Ga 2.36
6 Ga 0.5000 0.5000 0.5000  6 Be 2.36

Calculated values
- crystal system = trigonal
- space group = No. 166
- calculated density (g/cm³) = 4.39
- ΔE_f (meV/atom) = -270

=====

[3]
DFT (PBE) results for an optimized crystal structure of Tb6DyHo.

a b c (Å): 6.5154 6.7181 6.9174
angles (deg): 118.97 102.99 90.03
Last column: nearest neighbours and their distance in Å.
Element x y z (fractional)
1 Tb 0.2301 0.0748 0.4792  5 Tb 3.26-3.65, 1 Ho 3.38
2 Tb 0.2503 0.0485 0.0002  4 Tb 3.26-3.32, 1 Ho 3.44, 1 Dy 3.45
3 Tb 0.2703 0.5958 0.5219  5 Tb 3.26-3.65, 1 Dy 3.38
4 Tb 0.7297 0.4042 0.4781  5 Tb 3.26-3.65, 1 Dy 3.38
5 Tb 0.7497 0.9515 0.9998  4 Tb 3.26-3.32, 1 Ho 3.44, 1 Dy 3.45
6 Tb 0.7699 0.9252 0.5208  5 Tb 3.26-3.65, 1 Ho 3.38
7 Dy 0.0000 0.5000 0.0000  2 Ho 3.26, 4 Tb 3.38-3.45
8 Ho 0.5000 0.5000 0.0000  2 Dy 3.26, 4 Tb 3.38-3.44

Calculated values
- crystal system = triclinic
- space group = No. 2
- calculated density (g/cm³) = 8.31
- ΔE_f (meV/atom) = 202

=====

[4]
DFT (PBE) results for an optimized crystal structure of Re2PtBr.

a b c (Å): 4.7404 4.7404 4.7404
angles (deg): 127.71 127.71 77.10
Last column: nearest neighbours and their distance in Å.
Element x y z (fractional)
1 Re 0.0000 0.0000 0.0000  4 Br 2.79, 4 Re 2.79, 4 Pt 2.95
2 Re 0.7500 0.2500 0.5000  4 Re 2.79, 4 Pt 2.79, 4 Br 2.95
3 Pt 0.5000 0.5000 0.0000  4 Br 2.79, 8 Re 2.79-2.95
4 Br 0.2500 0.7500 0.5000  8 Re 2.79-2.95, 4 Pt 2.79

Calculated values
- crystal system = tetragonal
- space group = No. 119
- calculated density (g/cm³) = 16.61
- formation energy without anion corrections (eV/atom) = 1.11

=====

[5]
DFT (PBE) results for an optimized crystal structure of BHRu.

a b c (Å): 4.7585 4.7585 4.0629
angles (deg): 106.38 106.38 35.22
Last column: nearest neighbours and their distance in Å.
Element x y z (fractional)
1 B 0.0000 0.0000 0.0000  2 B 1.81
2 B 0.5445 0.5445 0.2835  1 H 1.54
3 H 0.2757 0.2757 0.1167  4 Ru 1.97-2.04
4 H 0.7160 0.7160 0.4956  1 B 1.54
5 Ru 0.6444 0.6444 0.8531  1 H 1.76
6 Ru 0.9023 0.9023 0.4309  1 H 1.79

Calculated values
- crystal system = monoclinic
- space group = No. 8
- calculated density (g/cm³) = 7.40

=====

[6]
DFT (PBE) results for an optimized crystal structure of AcTbHgIr.

a b c (Å): 5.2797 5.2797 5.2797
angles (deg): 60.00 60.00 60.00
Last column: nearest neighbours and their distance in Å.
Element x y z (fractional)
1 Ac 0.0000 0.0000 0.0000  4 Ir 3.23, 4 Hg 3.23
2 Tb 0.5000 0.5000 0.5000  4 Ir 3.23, 4 Hg 3.23
3 Hg 0.2500 0.2500 0.2500  4 Tb 3.23, 4 Ac 3.23
4 Ir 0.7500 0.7500 0.7500  4 Ac 3.23, 4 Tb 3.23

Calculated values
- crystal system = cubic
- space group = No. 216
- calculated density (g/cm³) = 12.43
- ΔE_f (meV/atom) = -455

=====

[7]
DFT (PBE) results for an optimized crystal structure of Ca2ThAu.

a b c (Å): 3.5307 3.5307 9.5795
angles (deg): 90.00 90.00 90.00
Last column: nearest neighbours and their distance in Å.
Element x y z (fractional)
1 Ca 0.0000 0.0000 0.1957  4 Au 3.12
2 Ca 0.0000 0.0000 0.8043  4 Au 3.12
3 Th 0.5000 0.5000 0.5000  4 Th 3.53, 8 Ca 3.84
4 Au 0.5000 0.5000 0.0000  8 Ca 3.12

Calculated values
- crystal system = tetragonal
- space group = No. 123
- calculated density (g/cm³) = 7.08
- ΔE_f (meV/atom) = -256

=====

[8]
DFT (PBE) results for an optimized crystal structure of Th3Sc3Tl2Fe.

a b c (Å): 8.5852 8.5852 3.6251
angles (deg): 90.00 90.00 120.00
Last column: nearest neighbours and their distance in Å.
Element x y z (fractional)
1 Th 0.0000 0.7593 0.0000  2 Fe 2.75
2 Th 0.2407 0.2407 0.0000  2 Fe 2.75
3 Th 0.7593 0.0000 0.0000  2 Fe 2.75
4 Sc 0.0000 0.3964 0.5000  4 Tl 3.20, 1 Fe 3.40, 4 Th 3.48
5 Sc 0.3964 0.0000 0.5000  4 Tl 3.20, 1 Fe 3.40, 4 Th 3.48
6 Sc 0.6036 0.6036 0.5000  4 Tl 3.20, 1 Fe 3.40, 4 Th 3.48
7 Tl 0.3333 0.6667 0.0000  6 Sc 3.20, 3 Th 3.33
8 Tl 0.6667 0.3333 0.0000  6 Sc 3.20, 3 Th 3.33
9 Fe 0.0000 0.0000 0.5000  6 Th 2.75

Calculated values
- crystal system = hexagonal
- space group = No. 189
- calculated density (g/cm³) = 9.30
- ΔE_f (meV/atom) = -164

=====

Number 1: E -47.1 eV per formula unit, DOS at the Fermi energy 7.1 states/eV per cell. Number 2: E -31.6 eV per formula unit, DOS at the Fermi energy 4.7 states/eV per cell. Number 3: E -35.3 eV per formula unit, DOS at the Fermi energy 13.9 states/eV per cell. Number 4: E -28.2 eV per formula unit, DOS at the Fermi energy 3.3 states/eV per cell. Number 5: E -19.3 eV per formula unit, DOS at the Fermi energy 1.2 states/eV per cell. Number 6: E -19.7 eV per formula unit, DOS at the Fermi energy 2.3 states/eV per cell. Number 7: E -15.7 eV per formula unit, DOS at the Fermi energy 4.3 states/eV per cell. Number 8: E -55.9 eV per formula unit, DOS at the Fermi energy 8.4 states/eV per cell.